{
  "formula": "LaNbCuIr",
  "functional": "GGA-PBE",
  "state": "optimized geometry",
  "cell": [[0.0000, 3.2984, 3.2984], [3.2984, 0.0000, 3.2984], [3.2984, 3.2984, 0.0000]],
  "species": ["La", "Nb", "Ir", "Cu"],
  "frac_coords": [[0.2500, 0.2500, 0.2500], [0.0000, 0.0000, 0.0000], [0.5000, 0.5000, 0.5000], [0.7500, 0.7500, 0.7500]],
  "polymorph_energy_ev_per_fu": 1.02,
  "formation_energy_ev_per_atom": 0.232,
  "spacegroup": "F-43m (216)",
  "crystal_system": "cubic"
}

{
  "formula": "LaNd2Cu2Si4Ir2",
  "functional": "GGA-PBE",
  "state": "optimized geometry",
  "cell": [[-2.0734, 2.0808, 12.1170], [2.0734, -2.0808, 12.1170], [2.0734, 2.0808, -12.1170]],
  "species": ["Nd", "Nd", "La", "Si", "Si", "Si", "Si", "Cu", "Cu", "Ir", "Ir"],
  "frac_coords": [[0.8533, 0.3533, 0.5000], [0.1467, 0.6467, 0.5000], [0.0000, 0.0000, 0.0000], [0.5503, 0.5503, 0.0000], [0.3032, 0.8032, 0.5000], [0.6968, 0.1968, 0.5000], [0.4497, 0.4497, 0.0000], [0.4020, 0.9020, 0.5000], [0.5980, 0.0980, 0.5000], [0.7507, 0.7507, 0.0000], [0.2493, 0.2493, 0.0000]],
  "spacegroup": "Immm (71)",
  "crystal_system": "orthorhombic"
}

| no. | E_tot (eV per atom) |
| --- | --- |
| 1 | -6.66 |
| 2 | -6.40 |